Below is a relaxed HfPd2Au3 crystal, with properties calculated at the PBE level.

excess energy over the best structure of this formula in the dataset	0.000	eV per formula unit
energy of formation from the pure elements	-438	meV/atom

```
HfPd2Au3
1.0
4.768 0.000 0.000
0.000 8.537 0.000
0.000 0.000 5.109
Hf Pd Au
2 4 6
Direct
0.250 0.250 0.079
0.750 0.750 0.921
0.250 0.581 0.090
0.250 0.919 0.090
0.750 0.081 0.910
0.750 0.419 0.910
0.250 0.083 0.594
0.250 0.417 0.594
0.250 0.750 0.604
0.750 0.250 0.396
0.750 0.583 0.406
0.750 0.917 0.406
```